[1]
This record from the Open Quantum Materials Database describes an optimized crystal structure of YTcNiPb. The functional is PBE.

Results
SG: No. 216
Mass density (g/cm3): 10.1
Volume (Å³ per cell): 74.7
Total magnetization (μB per atom): 0.001
E (Ry per atom): -0.471

Cell: 4.7264 4.7264 4.7264 Å, 60.00 60.00 60.00°
With the nearest neighbours (Å) after each atom.
Positions (direct):
Y: 0.5000 0.5000 0.5000  4 Tc 2.89, 4 Ni 2.89
Pb: 0.0000 0.0000 0.0000  4 Tc 2.89, 4 Ni 2.89
Tc: 0.2500 0.2500 0.2500  4 Y 2.89, 4 Pb 2.89
Ni: 0.7500 0.7500 0.7500  4 Pb 2.89, 4 Y 2.89

=====

[2]
This record from the Open Quantum Materials Database describes an optimized crystal structure of ZnTcNiPb. The functional is PBE.

Results
SG: No. 216
Mass density (g/cm3): 11.3
Volume (Å³ per cell): 63.3
Total magnetization (μB per atom): 0.001
E (Ry per atom): -0.357

Cell: 4.4740 4.4740 4.4740 Å, 60.00 60.00 60.00°
With the nearest neighbours (Å) after each atom.
Positions (direct):
Zn: 0.5000 0.5000 0.5000  4 Tc 2.74, 4 Ni 2.74
Tc: 0.2500 0.2500 0.2500  4 Zn 2.74, 4 Pb 2.74
Pb: 0.0000 0.0000 0.0000  4 Ni 2.74, 4 Tc 2.74
Ni: 0.7500 0.7500 0.7500  4 Zn 2.74, 4 Pb 2.74

=====

[3]
This record from the Open Quantum Materials Database describes an optimized crystal structure of Tm2NiPb6. The functional is PBE.

Results
SG: No. 65
Mass density (g/cm3): 11.3
Volume (Å³ per cell): 242.0
Total magnetization (μB per atom): 0.000
E (Ry per atom): -0.312

Cell: 11.7523 11.7523 4.6474 Å, 90.00 90.00 157.85°
With the nearest neighbours (Å) after each atom.
Positions (direct):
Pb: 0.7993 0.2007 0.0000  2 Pb 3.21, 6 Tm 3.26-3.54
Pb: 0.9292 0.0708 0.5000  2 Ni 2.84
Pb: 0.5723 0.4277 0.0000  2 Ni 2.81
Pb: 0.0708 0.9292 0.5000  2 Ni 2.84
Tm: 0.6834 0.3166 0.5000  10 Pb 3.26-3.54
Ni: 0.0000 0.0000 0.0000  8 Pb 2.81-2.84
Tm: 0.3166 0.6834 0.5000  10 Pb 3.26-3.54
Pb: 0.4277 0.5723 0.0000  2 Ni 2.81
Pb: 0.2007 0.7993 0.0000  2 Pb 3.21, 6 Tm 3.26-3.54

=====

[4]
This record from the Open Quantum Materials Database describes an optimized crystal structure of TmNiPb. The functional is PBE.

Results
SG: No. 62
Mass density (g/cm3): 11.6
Volume (Å³ per cell): 249.8
Total magnetization (μB per atom): 0.000
E (Ry per atom): -0.366

Cell: 7.1004 4.6229 7.6115 Å, 90.00 90.00 90.00°
With the nearest neighbours (Å) after each atom.
Positions (direct):
Pb: 0.2987 0.7500 0.4079  4 Ni 2.62-2.87
Tm: 0.4816 0.7500 0.7853  4 Ni 2.94-3.13, 6 Pb 3.15-3.24
Tm: 0.9816 0.7500 0.7147  4 Ni 2.94-3.13, 6 Pb 3.15-3.24
Ni: 0.2977 0.2500 0.5708  4 Pb 2.62-2.87
Pb: 0.2013 0.2500 0.9079  4 Ni 2.62-2.87
Tm: 0.0184 0.2500 0.2853  4 Ni 2.94-3.13, 6 Pb 3.15-3.24
Pb: 0.7013 0.2500 0.5921  4 Ni 2.62-2.87
Tm: 0.5184 0.2500 0.2147  4 Ni 2.94-3.13, 6 Pb 3.15-3.24
Ni: 0.7977 0.2500 0.9292  4 Pb 2.62-2.87
Pb: 0.7987 0.7500 0.0921  4 Ni 2.62-2.87
Ni: 0.2023 0.7500 0.0708  4 Pb 2.62-2.87
Ni: 0.7023 0.7500 0.4292  4 Pb 2.62-2.87